# 1
VASP calculation (GGA-PBE) on a relaxed Na3ZrSc2S6 crystal.

- ΔE_f (raw): -1647 meV/atom
- Electronic total energy: -69.7 eV per formula unit
- Crystal system: monoclinic
- Size of the total moment: 0.00 μB/atom

Unit cell a=6.483 b=6.483 c=7.032 alpha=98.84 beta=98.84 gamma=120.00
Fractional positions:
Na: 0.167 0.833 0.500
Na: 0.833 0.167 0.500
Na: 0.500 0.500 0.500
Zr: 0.000 0.000 0.000
Sc: 0.333 0.667 0.000
Sc: 0.667 0.333 0.000
S: 0.927 0.594 0.780
S: 0.740 0.740 0.220
S: 0.073 0.406 0.220
S: 0.594 0.927 0.780
S: 0.260 0.260 0.780
S: 0.406 0.073 0.220



# 2
VASP calculation (GGA-PBE) on a relaxed Sr2NbGe crystal.

- ΔE_f: 1.75 eV per formula unit
- Electronic total energy: -16.3 eV per formula unit
- Crystal system: tetragonal
- Size of the total moment: 0.76 μB/atom

Unit cell a=11.427 b=11.427 c=8.476 alpha=47.62 beta=47.62 gamma=90.00
Fractional positions:
Sr: 0.466 0.125 0.250
Sr: 0.284 0.625 0.250
Sr: 0.375 0.534 0.750
Sr: 0.875 0.716 0.750
Nb: 0.000 0.000 0.000
Nb: 0.750 0.250 0.500
Ge: 0.500 0.500 0.000
Ge: 0.250 0.750 0.500



# 3
VASP calculation (GGA-PBE) on a relaxed Ce2HgH crystal.

- Electronic total energy: -16.7 eV per formula unit
- E above lowest polymorph: 0.00 eV per formula unit
- Crystal system: orthorhombic
- Size of the total moment: 0.21 μB/atom

Unit cell a=4.305 b=4.305 c=9.864 alpha=102.24 beta=102.24 gamma=91.63
Fractional positions:
Ce: 0.311 0.311 0.613
Ce: 0.698 0.698 0.387
Ce: 0.955 0.516 0.000
Ce: 0.516 0.955 0.000
Hg: 0.135 0.135 0.257
Hg: 0.877 0.877 0.743
H: 0.254 0.754 0.500
H: 0.754 0.254 0.500



# 4
VASP calculation (GGA-PBE) on a relaxed AlTc2BiS crystal.

- ΔE_f (raw): 584 meV/atom
- Electronic total energy: -29.6 eV per formula unit
- Crystal system: tetragonal
- Size of the total moment: 0.00 μB/atom

Unit cell a=4.479 b=4.693 c=4.479 alpha=90.00 beta=90.00 gamma=90.00
Fractional positions:
S: 0.000 0.000 0.000
Al: 0.000 0.500 0.000
Bi: 0.500 0.500 0.500
Tc: 0.000 0.000 0.500
Tc: 0.500 0.000 0.000



# 5
VASP calculation (GGA-PBE) on a relaxed PrLuAu2 crystal.

- ΔE_f: -3.32 eV per formula unit
- Electronic total energy: -19.2 eV per formula unit
- E above lowest polymorph: 0.00 eV per formula unit
- Crystal system: tetragonal
- Size of the total moment: 0.00 μB/atom

Unit cell a=3.578 b=3.578 c=7.468 alpha=90.00 beta=90.00 gamma=90.00
Fractional positions:
Pr: 0.500 0.500 0.500
Lu: 0.500 0.500 0.000
Au: 0.000 0.000 0.781
Au: 0.000 0.000 0.219



# 6
VASP calculation (GGA-PBE) on a relaxed AgTe2 crystal.

- ΔE_f (raw): 222 meV/atom
- Electronic total energy: -8.5 eV per formula unit
- Crystal system: tetragonal
- Size of the total moment: 0.00 μB/atom

Unit cell a=6.615 b=6.615 c=4.486 alpha=90.00 beta=90.00 gamma=90.00
Fractional positions:
Ag: 0.500 0.500 0.000
Ag: 0.000 0.000 0.500
Te: 0.833 0.833 0.000
Te: 0.167 0.167 0.000
Te: 0.333 0.667 0.500
Te: 0.667 0.333 0.500



# 7
VASP calculation (GGA-PBE) on a relaxed Na2Bi2PdPt crystal.

- ΔE_f: -1.76 eV per formula unit
- Electronic total energy: -23.4 eV per formula unit
- Crystal system: orthorhombic
- Size of the total moment: 0.00 μB/atom

Unit cell a=6.684 b=6.755 c=8.370 alpha=113.80 beta=113.53 gamma=90.00
Fractional positions:
Na: 0.400 0.150 0.300
Na: 0.600 0.850 0.700
Na: 0.100 0.350 0.700
Na: 0.900 0.650 0.300
Bi: 0.860 0.107 0.214
Bi: 0.354 0.607 0.214
Bi: 0.646 0.393 0.786
Bi: 0.140 0.893 0.786
Pd: 0.500 0.750 0.000
Pd: 0.500 0.250 0.000
Pt: 0.000 0.750 0.000
Pt: 0.000 0.250 0.000



# 8
VASP calculation (GGA-PBE) on a relaxed Tb2Th3In7 crystal.

- ΔE_f: -1.49 eV per formula unit
- Electronic total energy: -52.2 eV per formula unit
- Crystal system: orthorhombic
- Size of the total moment: 0.00 μB/atom

Unit cell a=4.831 b=4.812 c=15.542 alpha=98.91 beta=90.00 gamma=90.00
Fractional positions:
Tb: 0.000 0.841 0.682
Tb: 0.000 0.159 0.318
Th: 0.500 0.500 0.000
Th: 0.500 0.650 0.300
Th: 0.500 0.350 0.700
In: 0.000 0.422 0.844
In: 0.000 0.727 0.454
In: 0.000 0.000 0.000
In: 0.000 0.578 0.156
In: 0.500 0.078 0.157
In: 0.500 0.922 0.843
In: 0.000 0.273 0.546



# 9
VASP calculation (GGA-PBE) on a relaxed P3IBr crystal.

- ΔE_f (raw): 1555 meV/atom
- Electronic total energy: -11.7 eV per formula unit
- E above lowest polymorph: 0.00 eV per formula unit
- Crystal system: cubic
- Size of the total moment: 0.00 μB/atom

Unit cell a=4.970 b=4.970 c=4.970 alpha=90.00 beta=90.00 gamma=90.00
Fractional positions:
I: 0.500 0.500 0.500
P: 0.000 0.500 0.000
P: 0.000 0.000 0.500
P: 0.500 0.000 0.000
Br: 0.000 0.000 0.000



# 10
VASP calculation (GGA-PBE) on a relaxed MgTlSn2Rh crystal.

- ΔE_f: -0.74 eV per formula unit
- Electronic total energy: -20.1 eV per formula unit
- Crystal system: tetragonal
- Size of the total moment: 0.00 μB/atom

Unit cell a=5.125 b=5.125 c=5.069 alpha=90.00 beta=90.00 gamma=90.00
Fractional positions:
Mg: 0.000 0.000 0.500
Tl: 0.500 0.500 0.500
Rh: 0.000 0.000 0.000
Sn: 0.000 0.500 0.000
Sn: 0.500 0.000 0.000



# 11
VASP calculation (GGA-PBE) on a relaxed AlCoS2Cl crystal.

- ΔE_f (raw): 134 meV/atom
- Electronic total energy: -20.3 eV per formula unit
- E above lowest polymorph: 0.00 eV per formula unit
- Crystal system: tetragonal
- Size of the total moment: 0.26 μB/atom

Unit cell a=4.457 b=4.457 c=4.653 alpha=90.00 beta=90.00 gamma=90.00
Fractional positions:
S: 0.000 0.500 0.000
S: 0.500 0.000 0.000
Co: 0.000 0.000 0.000
Al: 0.500 0.500 0.500
Cl: 0.000 0.000 0.500



# 12
VASP calculation (GGA-PBE) on a relaxed HfFeSbH2 crystal.

- Electronic total energy: -27.7 eV per formula unit
- Crystal system: tetragonal
- Size of the total moment: 0.57 μB/atom

Unit cell a=3.796 b=3.796 c=5.745 alpha=90.00 beta=90.00 gamma=90.00
Fractional positions:
Sb: 0.000 0.000 0.500
Hf: 0.000 0.000 0.000
Fe: 0.500 0.500 0.500
H: 0.000 0.500 0.000
H: 0.500 0.000 0.000



# 13
VASP calculation (GGA-PBE) on a relaxed Sr2CdSi crystal.

- ΔE_f (raw): -15 meV/atom
- Electronic total energy: -9.8 eV per formula unit
- Crystal system: orthorhombic
- Size of the total moment: 0.00 μB/atom

Unit cell a=3.862 b=3.862 c=8.926 alpha=90.00 beta=90.00 gamma=90.09
Fractional positions:
Cd: 0.000 0.000 0.553
Si: 0.500 0.500 0.700
Sr: 0.000 0.000 0.922
Sr: 0.500 0.500 0.325



# 14
VASP calculation (GGA-PBE) on a relaxed Be2RuPt crystal.

- ΔE_f: -1.37 eV per formula unit
- Electronic total energy: -24.1 eV per formula unit
- E above lowest polymorph: 0.75 eV per formula unit
- Crystal system: tetragonal
- Size of the total moment: 0.00 μB/atom

Unit cell a=2.800 b=2.800 c=5.772 alpha=90.00 beta=90.00 gamma=90.00
Fractional positions:
Ru: 0.500 0.500 0.805
Pt: 0.000 0.000 0.451
Be: 0.000 0.000 0.026
Be: 0.500 0.500 0.219



# 15
VASP calculation (GGA-PBE) on a relaxed Ir2WSe crystal.

- ΔE_f (raw): 256 meV/atom
- Electronic total energy: -33.1 eV per formula unit
- E above lowest polymorph: 0.69 eV per formula unit
- Crystal system: monoclinic
- Size of the total moment: 0.00 μB/atom

Unit cell a=4.997 b=4.997 c=4.544 alpha=88.21 beta=88.21 gamma=33.46
Fractional positions:
Ir: 0.977 0.977 0.010
Ir: 0.523 0.523 0.490
Se: 0.750 0.750 0.750
W: 0.250 0.250 0.250



# 16
VASP calculation (GGA-PBE) on a relaxed Sr2Ge3Pt9 crystal.

- ΔE_f: -8.03 eV per formula unit
- Electronic total energy: -79.6 eV per formula unit
- Crystal system: monoclinic
- Size of the total moment: 0.00 μB/atom

Unit cell a=7.870 b=7.870 c=10.330 alpha=90.12 beta=112.24 gamma=120.03
Fractional positions:
Sr: 0.337 0.246 0.750
Sr: 0.663 0.754 0.250
Sr: 0.995 0.586 0.750
Sr: 0.005 0.414 0.250
Ge: 0.500 0.000 0.000
Ge: 0.500 0.500 0.500
Ge: 0.865 0.182 0.502
Ge: 0.135 0.818 0.498
Ge: 0.180 0.363 0.998
Ge: 0.820 0.637 0.002
Pt: 0.452 0.917 0.742
Pt: 0.548 0.083 0.258
Pt: 0.675 0.710 0.758
Pt: 0.325 0.290 0.242
Pt: 0.452 0.648 0.924
Pt: 0.548 0.352 0.076
Pt: 0.224 0.528 0.576
Pt: 0.776 0.472 0.424
Pt: 0.883 0.133 0.750
Pt: 0.117 0.867 0.250
Pt: 0.125 0.986 0.939
Pt: 0.875 0.014 0.061
Pt: 0.547 0.185 0.561
Pt: 0.453 0.815 0.439
Pt: 0.873 0.858 0.573
Pt: 0.127 0.142 0.427
Pt: 0.785 0.300 0.927
Pt: 0.215 0.700 0.073



# 17
VASP calculation (GGA-PBE) on a relaxed SrSiGePd3 crystal.

- ΔE_f (raw): -565 meV/atom
- Electronic total energy: -30.7 eV per formula unit
- Crystal system: orthorhombic
- Size of the total moment: 0.00 μB/atom

Unit cell a=6.061 b=6.183 c=7.711 alpha=113.64 beta=90.00 gamma=90.00
Fractional positions:
Sr: 0.750 0.213 0.426
Sr: 0.250 0.787 0.574
Si: 0.250 0.076 0.152
Si: 0.750 0.924 0.848
Ge: 0.250 0.412 0.823
Ge: 0.750 0.588 0.177
Pd: 0.250 0.240 0.480
Pd: 0.000 0.246 0.000
Pd: 0.500 0.754 0.000
Pd: 0.500 0.246 0.000
Pd: 0.000 0.754 0.000
Pd: 0.750 0.760 0.520



# 18
VASP calculation (GGA-PBE) on a relaxed Mo3Ru crystal.

- ΔE_f: 0.44 eV per formula unit
- Electronic total energy: -41.3 eV per formula unit
- Crystal system: trigonal
- Size of the total moment: 0.00 μB/atom

Unit cell a=2.737 b=5.181 c=5.181 alpha=116.97 beta=79.86 gamma=79.86
Fractional positions:
Mo: 0.000 0.000 0.000
Mo: 0.500 0.000 0.500
Mo: 0.500 0.500 0.000
Ru: 0.000 0.500 0.500



# 19
VASP calculation (GGA-PBE) on a relaxed ErTmCd3 crystal.

- ΔE_f: -1.37 eV per formula unit
- Electronic total energy: -13.1 eV per formula unit
- E above lowest polymorph: 0.00 eV per formula unit
- Crystal system: orthorhombic
- Size of the total moment: 0.00 μB/atom

Unit cell a=3.438 b=4.924 c=14.745 alpha=90.00 beta=96.70 gamma=90.00
Fractional positions:
Er: 0.925 0.750 0.850
Er: 0.075 0.250 0.150
Tm: 0.216 0.750 0.432
Tm: 0.784 0.250 0.568
Cd: 0.622 0.750 0.243
Cd: 0.378 0.250 0.757
Cd: 0.524 0.750 0.048
Cd: 0.476 0.250 0.952
Cd: 0.676 0.250 0.351
Cd: 0.324 0.750 0.649



# 20
VASP calculation (GGA-PBE) on a relaxed ReSbTe2P crystal.

- ΔE_f (raw): 1449 meV/atom
- Electronic total energy: -21.0 eV per formula unit
- E above lowest polymorph: 2.24 eV per formula unit
- Crystal system: tetragonal
- Size of the total moment: 0.62 μB/atom

Unit cell a=5.181 b=5.181 c=5.039 alpha=90.00 beta=90.00 gamma=90.00
Fractional positions:
Re: 0.500 0.500 0.500
Te: 0.000 0.500 0.000
Te: 0.500 0.000 0.000
P: 0.000 0.000 0.000
Sb: 0.000 0.000 0.500